Material: HfRu3C
Method: DFT, PBE
State: relaxed

**DOS at the Fermi energy**: 6.1 states/eV/f.u.
**SG**: P4mm, No. 99
**E_form**: 0.83 eV/atom
**Magnetization**: 0.222 μB per atom

Cell lengths 3.945, 3.945, 6.143 Å; angles 90.00, 90.00, 90.00 degrees
Site moments in Bohr magnetons follow the coordinates.
Element x y z (fractional)
Ru: 0.000 0.000 0.740  0.91
Ru: 0.500 0.000 0.445  0.07
C: 0.500 0.500 0.495  0.00
Hf: 0.000 0.000 0.138  -0.02
Ru: 0.000 0.500 0.445  0.07